The following is a DFT calculation (PBE) of an optimized crystal structure of Sr3Hf2UAs6.

Results
Total magnetic moment: 1.7 μB/f.u.
Uncorrected energy: -6.405 eV per atom
Space group: No. 12
DOS(E_F): 0.56 states/eV/atom

```
Sr3Hf2UAs6
1.0
-4.816 -2.115 -4.749
-1.322 -0.673 6.929
-0.863 7.395 -0.655
As Sr Hf U
6 3 2 1
direct
0.589 0.929 0.788
0.270 0.270 0.789
0.071 0.411 0.212
0.411 0.071 0.212
0.929 0.589 0.788
0.730 0.730 0.211
0.165 0.835 0.500
0.500 0.500 0.500
0.835 0.165 0.500
0.333 0.667 0.000
0.667 0.333 0.000
0.000 0.000 0.000
```